This record from Alexandria describes a geometry-optimized Pr5PaSb6 structure. The functional is GGA-PBE.

* uncorrected energy: -5.923 eV/atom
* formation energy without anion corrections: -1.079 eV per atom
* Fermi-level density of states: 0.527 states/eV per atom

a b c (Å): 7.829 7.829 7.825
angles (deg): 99.60 99.60 119.99
Fractional coordinates of all 12 atoms:
1 Pr 0.000 0.000 0.000
2 Pr 0.166 0.834 0.500
3 Pr 0.330 0.670 0.000
4 Pr 0.670 0.330 0.000
5 Pr 0.834 0.166 0.500
6 Pa 0.500 0.500 0.500
7 Sb 0.096 0.419 0.256
8 Sb 0.260 0.260 0.745
9 Sb 0.419 0.096 0.256
10 Sb 0.581 0.904 0.744
11 Sb 0.740 0.740 0.255
12 Sb 0.904 0.581 0.744